# 1
Computed, not measured: a geometry-optimized KNa4Sm2 structure at the PBE level of DFT.

a b c (Å): 10.3315 13.9522 3.5046
angles (deg): 90.00 90.00 90.00
Closest atoms and distances in Å follow each position.
Sites, in units of the cell vectors:
1 K 0.0000 0.0000 0.0000  2 K 3.50, 4 Na 3.60
2 K 0.5000 0.5000 0.0000  2 K 3.50, 4 Na 3.60
3 Na 0.0000 0.3584 0.0000  6 Na 3.32-3.50, 4 Sm 3.47
4 Na 0.0000 0.6416 0.0000  6 Na 3.32-3.50, 4 Sm 3.47
5 Na 0.1951 0.5000 0.5000  6 Na 3.32-3.50, 2 Sm 3.53, 2 K 3.60
6 Na 0.3049 0.0000 0.5000  6 Na 3.32-3.50, 2 Sm 3.53, 2 K 3.60
7 Na 0.5000 0.1416 0.0000  6 Na 3.32-3.50, 4 Sm 3.47
8 Na 0.5000 0.8584 0.0000  6 Na 3.32-3.50, 4 Sm 3.47
9 Na 0.6951 0.0000 0.5000  6 Na 3.32-3.50, 2 Sm 3.53, 2 K 3.60
10 Na 0.8049 0.5000 0.5000  6 Na 3.32-3.50, 2 Sm 3.53, 2 K 3.60
11 Sm 0.2500 0.2500 0.5000  6 Na 3.47-3.53, 2 Sm 3.50
12 Sm 0.2500 0.7500 0.5000  6 Na 3.47-3.53, 2 Sm 3.50
13 Sm 0.7500 0.2500 0.5000  6 Na 3.47-3.53, 2 Sm 3.50
14 Sm 0.7500 0.7500 0.5000  6 Na 3.47-3.53, 2 Sm 3.50

For the total energy, the calculation gives -1.83 eV/atom. As for the space-group type: Cmmm, No. 65. As for the crystal system: orthorhombic.

=====

# 2
Computed, not measured: a geometry-optimized K3NaZn2Sn2 structure at the PBE level of DFT.

a b c (Å): 6.6089 6.2011 6.8328
angles (deg): 90.00 104.87 90.00
Closest atoms and distances in Å follow each position.
Sites, in units of the cell vectors:
1 K 0.0000 0.0000 0.0000  4 Sn 3.63-3.79, 3 K 3.69-3.93, 4 Zn 3.78-3.96, 2 Na 3.92
2 K 0.0644 0.5000 0.3654  1 Na 3.69, 4 Sn 3.69-3.75, 4 Zn 3.73-3.92, 4 K 3.93-3.96
3 K 0.3630 0.0000 0.6692  4 Sn 3.55-3.65, 3 K 3.69-3.96, 2 Zn 3.81, 2 Na 3.83
4 Na 0.7099 0.5000 0.7038  4 Sn 3.41-3.79, 1 K 3.69, 2 Zn 3.71
5 Zn 0.5357 0.2482 0.1956  2 Sn 2.63
6 Zn 0.5357 0.7518 0.1956  2 Sn 2.63
7 Sn 0.2989 0.5000 0.9206  2 Zn 2.63
8 Sn 0.7976 0.0000 0.4530  2 Zn 2.63

For the total energy, the calculation gives -2.07 eV/atom. As for the space-group type: Pm, No. 6. As for the crystal system: monoclinic.

=====

# 3
Computed, not measured: a geometry-optimized KNaTa structure at the PBE level of DFT.

a b c (Å): 7.9871 7.9871 7.9871
angles (deg): 90.00 90.00 90.00
Closest atoms and distances in Å follow each position.
Sites, in units of the cell vectors:
1 K 0.0000 0.0000 0.0000  4 Ta 3.46
2 K 0.0000 0.5000 0.5000  4 Ta 3.46
3 K 0.5000 0.0000 0.5000  4 Ta 3.46
4 K 0.5000 0.5000 0.0000  4 Ta 3.46
5 Na 0.0000 0.0000 0.5000  4 Ta 3.46
6 Na 0.0000 0.5000 0.0000  4 Ta 3.46
7 Na 0.5000 0.0000 0.0000  4 Ta 3.46
8 Na 0.5000 0.5000 0.5000  4 Ta 3.46
9 Ta 0.2500 0.2500 0.2500  4 K 3.46, 4 Na 3.46
10 Ta 0.2500 0.7500 0.7500  4 K 3.46, 4 Na 3.46
11 Ta 0.7500 0.2500 0.7500  4 K 3.46, 4 Na 3.46
12 Ta 0.7500 0.7500 0.2500  4 K 3.46, 4 Na 3.46

For the total energy, the calculation gives -2.73 eV/atom. As for the space-group type: F-43m, No. 216. As for the crystal system: cubic.

=====

# 4
Computed, not measured: a geometry-optimized K3NaTc2Te6 structure at the PBE level of DFT.

a b c (Å): 7.4138 7.4138 8.4371
angles (deg): 98.50 98.50 119.60
Closest atoms and distances in Å follow each position.
Sites, in units of the cell vectors:
1 K 0.0000 0.0000 0.0000  6 Te 3.36-3.65
2 K 0.3474 0.6526 0.0000  6 Te 3.40-3.69
3 K 0.6526 0.3474 0.0000  6 Te 3.40-3.69
4 Na 0.5000 0.5000 0.5000  6 Te 3.16-3.19
5 Tc 0.1696 0.8304 0.5000  6 Te 2.76-2.78
6 Tc 0.8304 0.1696 0.5000  6 Te 2.76-2.78
7 Te 0.0584 0.4357 0.3114  2 Tc 2.76-2.78
8 Te 0.1858 0.1858 0.6817  2 Tc 2.78
9 Te 0.4357 0.0584 0.3114  2 Tc 2.76-2.78
10 Te 0.5643 0.9416 0.6886  2 Tc 2.76-2.78
11 Te 0.8142 0.8142 0.3183  2 Tc 2.78
12 Te 0.9416 0.5643 0.6886  2 Tc 2.76-2.78

For the total energy, the calculation gives -4.11 eV/atom. As for the space-group type: C2/m, No. 12. As for the crystal system: monoclinic.

=====

# 5
Computed, not measured: a geometry-optimized KNaTcTe3 structure at the PBE level of DFT.

a b c (Å): 7.2973 7.2973 8.1765
angles (deg): 98.01 98.01 117.89
Closest atoms and distances in Å follow each position.
Sites, in units of the cell vectors:
1 K 0.1512 0.8488 0.0000  6 Te 3.38-3.57, 1 K 3.78
2 K 0.8488 0.1512 0.0000  6 Te 3.38-3.57, 1 K 3.78
3 Na 0.0000 0.0000 0.5000  6 Te 3.14-3.29
4 Na 0.5000 0.5000 0.0000  2 Te 3.10
5 Tc 0.3267 0.6733 0.5000  6 Te 2.75-2.78
6 Tc 0.6733 0.3267 0.5000  6 Te 2.75-2.78
7 Te 0.0659 0.4383 0.6919  2 Tc 2.75
8 Te 0.3313 0.3313 0.3067  2 Tc 2.78, 1 Na 3.10
9 Te 0.4383 0.0659 0.6919  2 Tc 2.75
10 Te 0.5617 0.9341 0.3081  2 Tc 2.75
11 Te 0.6687 0.6687 0.6933  2 Tc 2.78, 1 Na 3.10
12 Te 0.9341 0.5617 0.3081  2 Tc 2.75

For the total energy, the calculation gives -4.11 eV/atom. As for the space-group type: C2/m, No. 12. As for the crystal system: monoclinic.

=====

# 6
Computed, not measured: a geometry-optimized KNaThTe3 structure at the PBE level of DFT.

a b c (Å): 8.1404 8.1404 12.2179
angles (deg): 90.00 90.00 146.49
Closest atoms and distances in Å follow each position.
Sites, in units of the cell vectors:
1 K 0.2335 0.7665 0.7500  4 Te 3.56-3.79
2 K 0.7665 0.2335 0.2500  4 Te 3.56-3.79
3 Na 0.0535 0.9465 0.2500  4 Te 2.94-2.96
4 Na 0.9465 0.0535 0.7500  4 Te 2.94-2.96
5 Th 0.5000 0.5000 0.0000  6 Te 3.18-3.20
6 Th 0.5000 0.5000 0.5000  6 Te 3.18-3.20
7 Te 0.1348 0.8652 0.0332  1 Na 2.94, 2 Th 3.18
8 Te 0.1348 0.8652 0.4668  1 Na 2.94, 2 Th 3.18
9 Te 0.4379 0.5621 0.2500  2 Na 2.96, 2 Th 3.20
10 Te 0.5621 0.4379 0.7500  2 Na 2.96, 2 Th 3.20
11 Te 0.8652 0.1348 0.5332  1 Na 2.94, 2 Th 3.18
12 Te 0.8652 0.1348 0.9668  1 Na 2.94, 2 Th 3.18

For the total energy, the calculation gives -4.31 eV/atom. As for the space-group type: Cmcm, No. 63. As for the crystal system: orthorhombic.

=====

# 7
Computed, not measured: a geometry-optimized KNaUTe3 structure at the PBE level of DFT.

a b c (Å): 8.1672 8.1672 12.0819
angles (deg): 90.00 90.00 147.21
Closest atoms and distances in Å follow each position.
Sites, in units of the cell vectors:
1 K 0.2255 0.7745 0.7500  4 Te 3.51-3.65
2 K 0.7745 0.2255 0.2500  4 Te 3.51-3.65
3 Na 0.0599 0.9401 0.2500  4 Te 2.93-2.94
4 Na 0.9401 0.0599 0.7500  4 Te 2.93-2.94
5 U 0.5000 0.5000 0.0000  6 Te 3.10-3.15
6 U 0.5000 0.5000 0.5000  6 Te 3.10-3.15
7 Te 0.1306 0.8694 0.0259  1 Na 2.93, 2 U 3.10
8 Te 0.1306 0.8694 0.4741  1 Na 2.93, 2 U 3.10
9 Te 0.4433 0.5567 0.2500  2 Na 2.94, 2 U 3.15
10 Te 0.5567 0.4433 0.7500  2 Na 2.94, 2 U 3.15
11 Te 0.8694 0.1306 0.5259  1 Na 2.93, 2 U 3.10
12 Te 0.8694 0.1306 0.9741  1 Na 2.93, 2 U 3.10

For the total energy, the calculation gives -4.64 eV/atom. As for the space-group type: Cmcm, No. 63. As for the crystal system: orthorhombic.

=====

# 8
Computed, not measured: a geometry-optimized KNaTe3W structure at the PBE level of DFT.

a b c (Å): 7.4311 7.4311 8.2146
angles (deg): 98.18 98.18 119.29
Closest atoms and distances in Å follow each position.
Sites, in units of the cell vectors:
1 K 0.1512 0.8488 0.0000  6 Te 3.38-3.56
2 K 0.8488 0.1512 0.0000  6 Te 3.38-3.56
3 Na 0.0000 0.0000 0.5000  6 Te 3.19-3.32
4 Na 0.5000 0.5000 0.0000  2 Te 3.09
5 Te 0.0647 0.4382 0.6951  2 W 2.79-2.80
6 Te 0.3280 0.3280 0.3000  2 W 2.80, 1 Na 3.09
7 Te 0.4382 0.0647 0.6951  2 W 2.79-2.80
8 Te 0.5618 0.9353 0.3049  2 W 2.79-2.80
9 Te 0.6720 0.6720 0.7000  2 W 2.80, 1 Na 3.09
10 Te 0.9353 0.5618 0.3049  2 W 2.79-2.80
11 W 0.3310 0.6690 0.5000  6 Te 2.79-2.80
12 W 0.6690 0.3310 0.5000  6 Te 2.79-2.80

For the total energy, the calculation gives -4.46 eV/atom. As for the space-group type: C2/m, No. 12. As for the crystal system: monoclinic.

=====

# 9
Computed, not measured: a geometry-optimized K3NaZr2Te6 structure at the PBE level of DFT.

a b c (Å): 7.6597 7.6597 8.5329
angles (deg): 98.61 98.61 120.18
Closest atoms and distances in Å follow each position.
Sites, in units of the cell vectors:
1 K 0.0000 0.0000 0.0000  6 Te 3.39-3.59
2 K 0.3446 0.6554 0.0000  6 Te 3.43-3.61
3 K 0.6554 0.3446 0.0000  6 Te 3.43-3.61
4 Na 0.5000 0.5000 0.5000  6 Te 3.20-3.24
5 Zr 0.1694 0.8306 0.5000  6 Te 2.94-2.96
6 Zr 0.8306 0.1694 0.5000  6 Te 2.94-2.96
7 Te 0.0684 0.4312 0.2951  2 Zr 2.94-2.95, 1 Na 3.24
8 Te 0.2051 0.2051 0.6981  2 Zr 2.96, 1 Na 3.20
9 Te 0.4312 0.0684 0.2951  2 Zr 2.94-2.95, 1 Na 3.24
10 Te 0.5688 0.9316 0.7049  2 Zr 2.94-2.95, 1 Na 3.24
11 Te 0.7949 0.7949 0.3019  2 Zr 2.96, 1 Na 3.20
12 Te 0.9316 0.5688 0.7049  2 Zr 2.94-2.95, 1 Na 3.24

For the total energy, the calculation gives -4.38 eV/atom. As for the space-group type: C2/m, No. 12. As for the crystal system: monoclinic.

=====

# 10
Computed, not measured: a geometry-optimized KNaU structure at the PBE level of DFT.

a b c (Å): 8.2438 8.2438 8.2438
angles (deg): 90.00 90.00 90.00
Closest atoms and distances in Å follow each position.
Sites, in units of the cell vectors:
1 K 0.0000 0.0000 0.0000  4 Na 3.57
2 K 0.0000 0.5000 0.5000  4 Na 3.57
3 K 0.5000 0.0000 0.5000  4 Na 3.57
4 K 0.5000 0.5000 0.0000  4 Na 3.57
5 Na 0.2500 0.2500 0.2500  4 K 3.57, 4 U 3.57
6 Na 0.2500 0.7500 0.7500  4 K 3.57, 4 U 3.57
7 Na 0.7500 0.2500 0.7500  4 K 3.57, 4 U 3.57
8 Na 0.7500 0.7500 0.2500  4 K 3.57, 4 U 3.57
9 U 0.0000 0.0000 0.5000  4 Na 3.57
10 U 0.0000 0.5000 0.0000  4 Na 3.57
11 U 0.5000 0.0000 0.0000  4 Na 3.57
12 U 0.5000 0.5000 0.5000  4 Na 3.57

The calculation puts the relative energy among the computed polymorphs at 0.000 eV/atom. For the total energy, the calculation gives -2.91 eV/atom. As for the space-group type: F-43m, No. 216. As for the crystal system: cubic.

=====

# 11
Computed, not measured: a geometry-optimized KNaZr structure at the PBE level of DFT.

a b c (Å): 8.2309 8.2309 8.2309
angles (deg): 90.00 90.00 90.00
Closest atoms and distances in Å follow each position.
Sites, in units of the cell vectors:
1 K 0.0000 0.0000 0.0000  4 Zr 3.56
2 K 0.0000 0.5000 0.5000  4 Zr 3.56
3 K 0.5000 0.0000 0.5000  4 Zr 3.56
4 K 0.5000 0.5000 0.0000  4 Zr 3.56
5 Na 0.0000 0.0000 0.5000  4 Zr 3.56
6 Na 0.0000 0.5000 0.0000  4 Zr 3.56
7 Na 0.5000 0.0000 0.0000  4 Zr 3.56
8 Na 0.5000 0.5000 0.5000  4 Zr 3.56
9 Zr 0.2500 0.2500 0.2500  4 Na 3.56, 4 K 3.56
10 Zr 0.2500 0.7500 0.7500  4 K 3.56, 4 Na 3.56
11 Zr 0.7500 0.2500 0.7500  4 K 3.56, 4 Na 3.56
12 Zr 0.7500 0.7500 0.2500  4 K 3.56, 4 Na 3.56

For the total energy, the calculation gives -2.18 eV/atom. As for the space-group type: F-43m, No. 216. As for the crystal system: cubic.

=====

# 12
Computed, not measured: a geometry-optimized K2Nb structure at the PBE level of DFT.

a b c (Å): 7.8051 7.8051 9.5408
angles (deg): 90.00 90.00 120.00
Closest atoms and distances in Å follow each position.
Sites, in units of the cell vectors:
1 K 0.0000 0.0000 0.0000  6 K 3.50
2 K 0.0000 0.0000 0.5000  6 K 3.50
3 K 0.1896 0.3792 0.2500  4 K 3.37-3.50
4 K 0.1896 0.8104 0.2500  4 K 3.37-3.50
5 K 0.3792 0.1896 0.7500  4 K 3.37-3.50
6 K 0.6208 0.8104 0.2500  4 K 3.37-3.50
7 K 0.8104 0.1896 0.7500  4 K 3.37-3.50
8 K 0.8104 0.6208 0.7500  4 K 3.37-3.50
9 Nb 0.3333 0.6667 0.6385  1 Nb 2.13
10 Nb 0.3333 0.6667 0.8615  1 Nb 2.13
11 Nb 0.6667 0.3333 0.1385  1 Nb 2.13
12 Nb 0.6667 0.3333 0.3615  1 Nb 2.13

The calculation puts the relative energy among the computed polymorphs at 0.000 eV/atom. For the total energy, the calculation gives -2.95 eV/atom. As for the space-group type: P6_3/mmc, No. 194. As for the crystal system: hexagonal.

=====

# 13
Computed, not measured: a geometry-optimized KNb2 structure at the PBE level of DFT.

a b c (Å): 5.9151 5.9151 5.9151
angles (deg): 60.00 60.00 60.00
Closest atoms and distances in Å follow each position.
Sites, in units of the cell vectors:
1 K 0.1250 0.1250 0.1250  12 Nb 3.47, 4 K 3.62
2 K 0.8750 0.8750 0.8750  12 Nb 3.47, 4 K 3.62
3 Nb 0.0000 0.5000 0.5000  6 Nb 2.96
4 Nb 0.5000 0.0000 0.5000  6 Nb 2.96
5 Nb 0.5000 0.5000 0.0000  6 Nb 2.96
6 Nb 0.5000 0.5000 0.5000  6 Nb 2.96

The calculation puts the relative energy among the computed polymorphs at 0.000 eV/atom. For the total energy, the calculation gives -5.77 eV/atom. As for the space-group type: Fd-3m, No. 227. As for the crystal system: cubic.